Entry 1:
Below is Pm7ThAl4 after structural relaxation, with properties calculated at the GGA-PBE level.

```
12
Lattice="7.0210 -2.8739 0.0000 7.0210 2.8739 0.0000 -5.9333 0.0000 8.7199" Properties=species:S:1:pos:R:3 pbc="T T T"
Pm 0.0000 0.0000 0.0000
Pm -0.9447 0.0000 5.6781
Pm 3.4253 0.0000 1.0167
Pm 2.4703 0.0000 5.3484
Pm 5.6383 0.0000 3.3715
Pm 4.6833 0.0000 7.7032
Pm 9.0533 0.0000 3.0418
Th 7.0210 0.0000 0.0000
Al -3.7786 0.0000 6.5750
Al 0.5112 0.0000 2.9082
Al 7.5974 0.0000 5.8117
Al 11.8872 0.0000 2.1449
```

Computed properties:
DOS at the Fermi energy: 12.6 states/eV/f.u.
calculated volume: 29.32 A^3/atom
final energy: -4.663 eV per atom
energy of formation from the pure elements: -0.026 eV per atom

=====

Entry 2:
Below is NbSn2WC after structural relaxation, with properties calculated at the GGA-PBE level.

```
5
Lattice="5.2311 0.0000 0.0000 0.0000 5.2311 0.0000 0.0000 0.0000 4.8531" Properties=species:S:1:pos:R:3 pbc="T T T"
Nb 0.0000 0.0000 0.0000
Sn 0.0000 2.6155 2.4265
Sn 2.6155 0.0000 2.4265
W 0.0000 0.0000 2.4265
C 2.6155 2.6155 0.0000
```

Computed properties:
DOS at the Fermi energy: 4.7 states/eV/f.u.
calculated volume: 26.56 A^3/atom
final energy: -5.960 eV per atom
energy of formation from the pure elements: 2.090 eV per atom